Entry from Alexandria via LeMat-Bulk: SrOs2Au after structural relaxation (PBE-GGA).

POSCAR file:
```
SrOs2Au
1.0
-0.803 -2.300 -3.587
-3.011 -2.276 2.133
-8.826 4.337 -3.425
Sr Os Au
2 4 2
Cartesian
-1.907 -2.288 -0.727 Sr
-6.872 -0.113 -1.009 Sr
-4.886 -2.623 -3.087 Os
-3.190 -0.939 -3.302 Os
-7.341 1.226 -5.694 Os
-7.654 1.836 -3.394 Os
0.000 0.000 0.000 Au
-5.768 -0.125 -3.869 Au
```

Properties
Calculated total energy, hartree per atom: -0.226
Energy above the most stable polymorph in this dataset, meV per atom: 360
E_form, meV per atom: 691
Space-group type: I-42d (122)
Spin magnetization, μB per formula unit: 0.00


Entry from Alexandria via LeMat-Bulk: SrOsAu4 after structural relaxation (PBE-GGA).

POSCAR file:
```
SrOsAu4
1.0
5.019 -1.534 1.892
1.638 1.519 5.112
0.408 -3.817 4.048
Au Sr Os
4 1 1
Cartesian
2.856 -3.339 6.165 Au
2.653 -1.439 4.150 Au
5.152 -2.202 5.092 Au
3.468 -0.682 6.695 Au
0.000 0.000 0.000 Sr
5.298 -2.873 8.288 Os
```

Properties
Calculated total energy, hartree per atom: -0.148
E_form, meV per atom: 307
Space-group type: F-43m (216)
Spin magnetization, μB per formula unit: 1.92


Entry from Alexandria via LeMat-Bulk: SrOs2Au after structural relaxation (PBE-GGA).

POSCAR file:
```
SrOs2Au
1.0
-0.242 -2.516 -1.511
0.113 -2.518 4.176
-5.129 0.301 0.320
Os Au Sr
2 1 1
Cartesian
-0.065 -2.517 1.333 Os
0.000 0.000 0.000 Os
-2.508 -1.109 2.248 Au
-2.686 -1.107 -0.595 Sr
```

Properties
Calculated total energy, hartree per atom: -0.222
Energy above the most stable polymorph in this dataset, meV per atom: 473
E_form, meV per atom: 805
Space-group type: Pmmm (47)
Spin magnetization, μB per formula unit: 0.00


Entry from Alexandria via LeMat-Bulk: SrOs2Au after structural relaxation (PBE-GGA).

POSCAR file:
```
SrOs2Au
1.0
6.193 0.027 0.161
5.491 2.864 0.161
2.582 0.639 4.891
Os Sr Au
2 1 1
Cartesian
7.210 1.784 2.053 Os
11.606 2.871 0.875 Os
10.699 2.647 3.910 Sr
3.566 0.882 1.303 Au
```

Properties
Calculated total energy, hartree per atom: -0.227
Energy above the most stable polymorph in this dataset, meV per atom: 352
E_form, meV per atom: 684
Space-group type: C2/m (12)
Spin magnetization, μB per formula unit: 0.00